{"formula": "TmGa2Pt5", "functional": "PBE-GGA", "state": "optimized geometry", "dos_at_fermi_per_ev_atom": 0.390, "e_form_ev_per_atom": -0.751, "e_tot_ev_per_atom": -5.84, "vol_a3_per_cell": 278.45, "cell": [[3.783, 0.000, 0.000], [0.000, 7.186, 0.000], [0.000, 0.000, 10.244]], "species": ["Tm", "Tm", "Ga", "Ga", "Ga", "Ga", "Pt", "Pt", "Pt", "Pt", "Pt", "Pt", "Pt", "Pt", "Pt", "Pt"], "frac_coords": [[0.000, 0.000, 0.000], [0.500, 0.500, 0.500], [0.000, 0.500, 0.246], [0.000, 0.500, 0.754], [0.500, 0.000, 0.254], [0.500, 0.000, 0.746], [0.000, 0.207, 0.363], [0.000, 0.207, 0.637], [0.000, 0.500, 0.000], [0.000, 0.793, 0.363], [0.000, 0.793, 0.637], [0.500, 0.000, 0.500], [0.500, 0.293, 0.137], [0.500, 0.293, 0.863], [0.500, 0.707, 0.137], [0.500, 0.707, 0.863]]}